Record 1
The following is a PBE-GGA calculation of a geometry-optimized Dy6ErTmSc2 structure, from Alexandria via LeMat-Bulk.

The formation energy comes out at 0.1251 eV/atom. For the density of states at the Fermi level, the calculation gives 15.7 states/eV/f.u. The total DFT energy (no corrections) comes out at -4.806 eV per atom. The space-group type is C2/c (15).

abc: 8.5916 8.5916 9.3234
angles: 93.75 93.75 117.62
Last column: nearest neighbours and their distance in Å.
Sites, in units of the cell vectors:
Dy 0.0168 0.5624 0.1818  4 Dy 3.19-3.53, 2 Sc 3.32-3.47, 1 Tm 3.37, 1 Er 3.51
Dy 0.1191 0.7576 0.5537  7 Dy 3.34-3.69, 1 Sc 3.36, 2 Er 3.56-3.73
Dy 0.2424 0.8809 0.9463  7 Dy 3.34-3.69, 1 Sc 3.36, 2 Er 3.56-3.73
Dy 0.2964 0.5038 0.3824  3 Sc 3.15-3.33, 3 Dy 3.19-3.34, 2 Tm 3.30-3.43
Dy 0.4376 0.9832 0.3182  4 Dy 3.19-3.53, 2 Sc 3.32-3.47, 1 Tm 3.37, 1 Er 3.51
Dy 0.4962 0.7036 0.1176  3 Sc 3.15-3.33, 3 Dy 3.19-3.34, 2 Tm 3.30-3.43
Dy 0.5038 0.2964 0.8824  3 Sc 3.15-3.33, 3 Dy 3.19-3.34, 2 Tm 3.30-3.43
Dy 0.5624 0.0168 0.6818  4 Dy 3.19-3.53, 2 Sc 3.32-3.47, 1 Tm 3.37, 1 Er 3.51
Dy 0.7036 0.4962 0.6176  3 Sc 3.15-3.33, 3 Dy 3.19-3.34, 2 Tm 3.30-3.43
Dy 0.7576 0.1191 0.0537  7 Dy 3.34-3.69, 1 Sc 3.36, 2 Er 3.56-3.73
Dy 0.8809 0.2424 0.4463  7 Dy 3.34-3.69, 1 Sc 3.36, 2 Er 3.56-3.73
Dy 0.9832 0.4376 0.8182  4 Dy 3.19-3.53, 2 Sc 3.32-3.47, 1 Tm 3.37, 1 Er 3.51
Er 0.0261 0.9739 0.2500  4 Sc 3.31-3.35, 4 Dy 3.51-3.56
Er 0.9739 0.0261 0.7500  4 Sc 3.31-3.35, 4 Dy 3.51-3.56
Tm 0.4077 0.5923 0.7500  6 Dy 3.30-3.43, 2 Sc 3.47
Tm 0.5923 0.4077 0.2500  6 Dy 3.30-3.43, 2 Sc 3.47
Sc 0.1969 0.3028 0.0467  6 Dy 3.15-3.47, 2 Er 3.31-3.35, 1 Tm 3.47
Sc 0.3028 0.1969 0.5467  6 Dy 3.15-3.47, 2 Er 3.31-3.35, 1 Tm 3.47
Sc 0.6972 0.8031 0.4533  6 Dy 3.15-3.47, 2 Er 3.31-3.35, 1 Tm 3.47
Sc 0.8031 0.6972 0.9533  6 Dy 3.15-3.47, 2 Er 3.31-3.35, 1 Tm 3.47



Record 2
The following is a PBE-GGA calculation of a geometry-optimized Pm3YO6 structure, from Alexandria via LeMat-Bulk.

The calculation puts the formation energy without anion corrections at -332.6 kJ/mol of atoms. For the density of states at the Fermi level, the calculation gives 0.0 states/eV/f.u. The total DFT energy (no corrections) comes out at -8.493 eV per atom. The space-group type is R-3 (148).

abc: 6.9218 6.9218 6.9218
angles: 91.73 91.73 91.73
Last column: nearest neighbours and their distance in Å.
Sites, in units of the cell vectors:
Pm 0.0563 0.7517 0.5634  6 O 2.31-2.45
Pm 0.2483 0.4366 0.9437  6 O 2.31-2.45
Pm 0.4366 0.9437 0.2483  6 O 2.31-2.45
Pm 0.5634 0.0563 0.7517  6 O 2.31-2.45
Pm 0.7517 0.5634 0.0563  6 O 2.31-2.45
Pm 0.9437 0.2483 0.4366  6 O 2.31-2.45
Y 0.0000 0.0000 0.0000  6 O 2.27
Y 0.5000 0.5000 0.5000  6 O 2.30
O 0.0316 0.6875 0.9013  1 Y 2.27, 3 Pm 2.35-2.40
O 0.0987 0.9684 0.3125  1 Y 2.27, 3 Pm 2.35-2.40
O 0.1887 0.4324 0.5925  1 Y 2.30, 3 Pm 2.31-2.45
O 0.3125 0.0987 0.9684  1 Y 2.27, 3 Pm 2.35-2.40
O 0.4075 0.8113 0.5676  1 Y 2.30, 3 Pm 2.31-2.45
O 0.4324 0.5925 0.1887  1 Y 2.30, 3 Pm 2.31-2.45
O 0.5676 0.4075 0.8113  1 Y 2.30, 3 Pm 2.31-2.45
O 0.5925 0.1887 0.4324  1 Y 2.30, 3 Pm 2.31-2.45
O 0.6875 0.9013 0.0316  1 Y 2.27, 3 Pm 2.35-2.40
O 0.8113 0.5676 0.4075  1 Y 2.30, 3 Pm 2.31-2.45
O 0.9013 0.0316 0.6875  1 Y 2.27, 3 Pm 2.35-2.40
O 0.9684 0.3125 0.0987  1 Y 2.27, 3 Pm 2.35-2.40



Record 3
The following is a PBE-GGA calculation of a geometry-optimized PmBPdN structure, from Alexandria via LeMat-Bulk.

The calculation puts the formation energy without anion corrections at -97.9 kJ/mol of atoms. For the density of states at the Fermi level, the calculation gives 1.5 states/eV/f.u. The total DFT energy (no corrections) comes out at -7.251 eV per atom. The space-group type is P4/nmm (129).

abc: 3.7870 3.7870 7.7392
angles: 90.00 90.00 90.00
Last column: nearest neighbours and their distance in Å.
Sites, in units of the cell vectors:
Pm 0.2500 0.2500 0.1636  5 N 2.40-2.68
Pm 0.7500 0.7500 0.8364  5 N 2.40-2.68
B 0.2500 0.2500 0.6696  1 N 1.42
B 0.7500 0.7500 0.3304  1 N 1.42
Pd 0.2500 0.7500 0.5000  4 B 2.30
Pd 0.7500 0.2500 0.5000  4 B 2.30
N 0.2500 0.2500 0.8534  1 B 1.42
N 0.7500 0.7500 0.1466  1 B 1.42



Record 4
The following is a PBE-GGA calculation of a geometry-optimized PmZn2In structure, from Alexandria via LeMat-Bulk.

The formation energy comes out at -0.1742 eV/atom. For the density of states at the Fermi level, the calculation gives 1.8 states/eV/f.u. The total DFT energy (no corrections) comes out at -2.683 eV per atom. The calculation puts the energy above the lowest structure with this stoichiometry at 0.136 eV per atom. The space-group type is Cmmm (65).

abc: 5.6879 5.6879 3.2686
angles: 90.00 90.00 118.91
Last column: nearest neighbours and their distance in Å.
Sites, in units of the cell vectors:
Pm 0.0000 0.0000 0.0000  2 Pm 3.27, 8 Zn 3.28, 4 In 3.32
Zn 0.0000 0.5000 0.5000  2 In 2.84, 2 Zn 2.89
Zn 0.5000 0.0000 0.5000  2 In 2.84, 2 Zn 2.89
In 0.5000 0.5000 0.5000  4 Zn 2.84



Record 5
The following is a PBE-GGA calculation of a geometry-optimized LiNb2I structure, from Alexandria via LeMat-Bulk.

The calculation puts the formation energy without anion corrections at 72.1 kJ/mol of atoms. For the density of states at the Fermi level, the calculation gives 3.6 states/eV/f.u. The total DFT energy (no corrections) comes out at -5.154 eV per atom. The calculation puts the energy above the lowest structure with this stoichiometry at 0.301 eV per atom. The space-group type is Fm-3m (225).

abc: 4.6775 4.6775 4.6775
angles: 60.00 60.00 60.00
Last column: nearest neighbours and their distance in Å.
Sites, in units of the cell vectors:
Li 0.0000 0.0000 0.0000  8 Nb 2.86
Nb 0.2500 0.2500 0.2500  4 Li 2.86, 4 I 2.86
Nb 0.7500 0.7500 0.7500  4 Li 2.86, 4 I 2.86
I 0.5000 0.5000 0.5000  8 Nb 2.86



Record 6
The following is a PBE-GGA calculation of a geometry-optimized Mn3ZnSe structure, from Alexandria via LeMat-Bulk.

The calculation puts the formation energy without anion corrections at 57.0 kJ/mol of atoms. For the density of states at the Fermi level, the calculation gives 4.6 states/eV/f.u. The total DFT energy (no corrections) comes out at -5.862 eV per atom. The calculation puts the energy above the lowest structure with this stoichiometry at 0.000 eV per atom. The space-group type is Pm-3m (221).

abc: 4.5552 4.5552 4.5552
angles: 90.00 90.00 90.00
Last column: nearest neighbours and their distance in Å.
Sites, in units of the cell vectors:
Mn 0.0000 0.0000 0.5000  2 Se 2.28
Mn 0.0000 0.5000 0.0000  2 Se 2.28
Mn 0.5000 0.0000 0.0000  2 Se 2.28
Zn 0.5000 0.5000 0.5000  12 Mn 3.22
Se 0.0000 0.0000 0.0000  6 Mn 2.28



Which of these has the lowest total DFT energy (no corrections)?
Pm3YO6